Pm2TmCu3: relaxed, GGA-PBE.

Crystal system: tetragonal
Total energy in Ry per atom: -0.3369

Unit cell a=3.5014 b=3.5014 c=10.6119 alpha=90.00 beta=90.00 gamma=90.00
Fractional coordinates of all 6 atoms:
Pm: 0.0000 0.0000 0.1715
Pm: 0.0000 0.0000 0.8285
Tm: 0.0000 0.0000 0.5000
Cu: 0.5000 0.5000 0.0000
Cu: 0.5000 0.5000 0.3494
Cu: 0.5000 0.5000 0.6506